Computed, not measured: a relaxed MgNbMoO6 crystal at the GGA+U level of DFT.

Computed properties:
The calculation puts the total energy at -7.612 eV/atom. The calculation puts the spin magnetization at 1.00 μB per formula unit.

a b c (Å): 4.800 4.800 9.235
angles (deg): 90.00 90.00 90.00
Space group P4_2nm (No. 102)
Symmetry-distinct sites (fractional):
Mg 0.000 0.000 0.000 (multiplicity 2)
Nb 0.000 0.000 0.329 (multiplicity 2)
Mo 0.000 0.000 0.668 (multiplicity 2)
O 0.188 0.188 0.504 (multiplicity 4)
O 0.197 0.197 0.826 (multiplicity 4)
O 0.199 0.199 0.177 (multiplicity 4)